1.
Computed, not measured: a relaxed TaSiTe crystal at the GGA-PBEsol level of DFT. Values from VASP.

V ... 19.07 A^3/atom
Total magnetic moment ... 0.00 μB per formula unit
DOS(E_F) ... 1.35 states/eV per cell
Uncorrected formation energy ... 0.3315 eV/atom

Quantum ESPRESSO input file:
```
&SYSTEM
  ibrav = 0, nat = 3, ntyp = 3
/
ATOMIC_SPECIES
Ta 180.95 Ta.upf
Si 28.09 Si.upf
Te 127.60 Te.upf
CELL_PARAMETERS angstrom
4.786 0.000 0.000
-2.393 4.145 0.000
0.000 0.000 2.885
ATOMIC_POSITIONS crystal
Ta 0.000 0.000 0.000
Si 0.667 0.333 0.500
Te 0.333 0.667 0.000
```

---

2.
Computed, not measured: a relaxed Sr2MgRhC crystal at the GGA-PBEsol level of DFT. Values from VASP.

V ... 31.29 A^3/atom
Total magnetic moment ... 1.84 μB per formula unit
Energy of formation ... 1558 meV/atom
DOS(E_F) ... 3.31 states/eV per cell

Quantum ESPRESSO input file:
```
&SYSTEM
  ibrav = 0, nat = 5, ntyp = 4
/
ATOMIC_SPECIES
Sr 87.62 Sr.upf
Mg 24.30 Mg.upf
Rh 102.91 Rh.upf
C 12.01 C.upf
CELL_PARAMETERS angstrom
5.924 0.000 0.000
0.000 5.924 0.000
0.000 0.000 4.458
ATOMIC_POSITIONS crystal
Sr 0.000 0.500 0.000
Sr 0.500 0.000 0.000
Mg 0.000 0.000 0.000
Rh 0.000 0.000 0.500
C 0.500 0.500 0.500
```

---

3.
Computed, not measured: a relaxed KLiMn2 crystal at the GGA-PBEsol level of DFT. Values from VASP.

V ... 14.82 A^3/atom
Total magnetic moment ... 0.01 μB per formula unit
Energy of formation ... 1374 meV/atom
Offset from the most stable computed form ... 0.125 eV per atom
DOS(E_F) ... 4.55 states/eV per cell

Quantum ESPRESSO input file:
```
&SYSTEM
  ibrav = 0, nat = 4, ntyp = 3
/
ATOMIC_SPECIES
K 39.10 K.upf
Li 6.94 Li.upf
Mn 54.94 Mn.upf
CELL_PARAMETERS angstrom
-1.678 1.678 5.263
1.678 -1.678 5.263
1.678 1.678 -5.263
ATOMIC_POSITIONS crystal
K 0.000 0.000 0.000
Li 0.500 0.500 0.000
Mn 0.250 0.750 0.500
Mn 0.750 0.250 0.500
```

---

4.
Computed, not measured: a relaxed MnIr2W crystal at the GGA-PBEsol level of DFT. Values from VASP.

V ... 14.43 A^3/atom
Total magnetic moment ... 3.64 μB per formula unit
Energy of formation ... 132 meV/atom
Offset from the most stable computed form ... 0.389 eV per atom
DOS(E_F) ... 5.34 states/eV per cell

Quantum ESPRESSO input file:
```
&SYSTEM
  ibrav = 0, nat = 4, ntyp = 3
/
ATOMIC_SPECIES
Mn 54.94 Mn.upf
Ir 192.22 Ir.upf
W 183.84 W.upf
CELL_PARAMETERS angstrom
0.000 3.067 3.067
3.067 0.000 3.067
3.067 3.067 0.000
ATOMIC_POSITIONS crystal
Mn 0.000 0.000 0.000
Ir 0.250 0.250 0.250
Ir 0.750 0.750 0.750
W 0.500 0.500 0.500
```

---

5.
Computed, not measured: a relaxed CrW crystal at the GGA-PBEsol level of DFT. Values from VASP.

V ... 13.54 A^3/atom
Total magnetic moment ... 0.00 μB per formula unit
Energy of formation ... 99 meV/atom
DOS(E_F) ... 2.46 states/eV per cell

Quantum ESPRESSO input file:
```
&SYSTEM
  ibrav = 0, nat = 4, ntyp = 2
/
ATOMIC_SPECIES
Cr 52.00 Cr.upf
W 183.84 W.upf
CELL_PARAMETERS angstrom
3.003 0.000 0.000
0.000 3.003 0.000
0.000 0.000 6.005
ATOMIC_POSITIONS crystal
Cr 0.250 0.250 0.117
Cr 0.750 0.750 0.883
W 0.250 0.250 0.640
W 0.750 0.750 0.360
```

---

6.
Computed, not measured: a relaxed Sn2BrCl2 crystal at the GGA-PBEsol level of DFT. Values from VASP.

V ... 27.32 A^3/atom
Total magnetic moment ... 0.00 μB per formula unit
DOS(E_F) ... 2.40 states/eV per cell
Uncorrected formation energy ... -0.5228 eV/atom

Quantum ESPRESSO input file:
```
&SYSTEM
  ibrav = 0, nat = 5, ntyp = 3
/
ATOMIC_SPECIES
Sn 118.71 Sn.upf
Br 79.90 Br.upf
Cl 35.45 Cl.upf
CELL_PARAMETERS angstrom
-2.333 2.333 6.277
2.333 -2.333 6.277
2.333 2.333 -6.277
ATOMIC_POSITIONS crystal
Sn 0.124 0.124 0.000
Sn 0.876 0.876 0.000
Br 0.500 0.500 0.000
Cl 0.250 0.750 0.500
Cl 0.750 0.250 0.500
```

---

7.
Computed, not measured: a relaxed Li2HfMn crystal at the GGA-PBEsol level of DFT. Values from VASP.

V ... 14.82 A^3/atom
Total magnetic moment ... 2.23 μB per formula unit
Energy of formation ... 581 meV/atom
DOS(E_F) ... 4.67 states/eV per cell

Quantum ESPRESSO input file:
```
&SYSTEM
  ibrav = 0, nat = 4, ntyp = 3
/
ATOMIC_SPECIES
Li 6.94 Li.upf
Hf 178.49 Hf.upf
Mn 54.94 Mn.upf
CELL_PARAMETERS angstrom
0.000 3.095 3.095
3.095 0.000 3.095
3.095 3.095 0.000
ATOMIC_POSITIONS crystal
Li 0.250 0.250 0.250
Li 0.750 0.750 0.750
Hf 0.000 0.000 0.000
Mn 0.500 0.500 0.500
```

---

8.
Computed, not measured: a relaxed CrPt2Se crystal at the GGA-PBEsol level of DFT. Values from VASP.

V ... 16.07 A^3/atom
Total magnetic moment ... 2.86 μB per formula unit
DOS(E_F) ... 2.38 states/eV per cell
Uncorrected formation energy ... 0.0111 eV/atom

Quantum ESPRESSO input file:
```
&SYSTEM
  ibrav = 0, nat = 4, ntyp = 3
/
ATOMIC_SPECIES
Cr 52.00 Cr.upf
Pt 195.08 Pt.upf
Se 78.96 Se.upf
CELL_PARAMETERS angstrom
2.637 -2.693 0.000
2.637 2.693 0.000
0.000 0.000 4.523
ATOMIC_POSITIONS crystal
Cr 0.000 0.000 0.000
Pt 0.239 0.761 0.500
Pt 0.761 0.239 0.500
Se 0.500 0.500 0.000
```

---

9.
Computed, not measured: a relaxed DyAlGa crystal at the GGA-PBEsol level of DFT. Values from VASP.

V ... 19.64 A^3/atom
Total magnetic moment ... 0.00 μB per formula unit
Energy of formation ... -611 meV/atom
DOS(E_F) ... 1.06 states/eV per cell

Quantum ESPRESSO input file:
```
&SYSTEM
  ibrav = 0, nat = 3, ntyp = 3
/
ATOMIC_SPECIES
Dy 162.50 Dy.upf
Al 26.98 Al.upf
Ga 69.72 Ga.upf
CELL_PARAMETERS angstrom
4.409 0.000 0.000
-2.204 3.818 0.000
0.000 0.000 3.500
ATOMIC_POSITIONS crystal
Dy 0.000 0.000 0.000
Al 0.667 0.333 0.500
Ga 0.333 0.667 0.500
```

---

10.
Computed, not measured: a relaxed Cu2ClO crystal at the GGA-PBEsol level of DFT. Values from VASP.

V ... 14.40 A^3/atom
Total magnetic moment ... 0.00 μB per formula unit
DOS(E_F) ... 7.06 states/eV per cell
Uncorrected formation energy ... -0.4375 eV/atom

Quantum ESPRESSO input file:
```
&SYSTEM
  ibrav = 0, nat = 8, ntyp = 3
/
ATOMIC_SPECIES
Cu 63.55 Cu.upf
Cl 35.45 Cl.upf
O 16.00 O.upf
CELL_PARAMETERS angstrom
-2.367 2.367 5.140
2.367 -2.367 5.140
2.367 2.367 -5.140
ATOMIC_POSITIONS crystal
Cu 0.021 0.625 0.896
Cu 0.375 0.271 0.396
Cu 0.729 0.125 0.104
Cu 0.875 0.979 0.604
Cl 0.250 0.750 0.500
Cl 0.500 0.500 0.000
O 0.000 0.000 0.000
O 0.750 0.250 0.500
```

---

11.
Computed, not measured: a relaxed TiVN2 crystal at the GGA-PBEsol level of DFT. Values from VASP.

V ... 8.88 A^3/atom
Total magnetic moment ... 0.00 μB per formula unit
DOS(E_F) ... 2.11 states/eV per cell
Uncorrected formation energy ... -1.5713 eV/atom

Quantum ESPRESSO input file:
```
&SYSTEM
  ibrav = 0, nat = 4, ntyp = 3
/
ATOMIC_SPECIES
Ti 47.87 Ti.upf
V 50.94 V.upf
N 14.01 N.upf
CELL_PARAMETERS angstrom
1.467 0.847 4.762
-1.467 0.847 4.762
0.000 -1.694 4.762
ATOMIC_POSITIONS crystal
Ti 0.000 0.000 0.000
V 0.500 0.500 0.500
N 0.249 0.249 0.249
N 0.751 0.751 0.751
```

---

12.
Computed, not measured: a relaxed RbNa2GaB crystal at the GGA-PBEsol level of DFT. Values from VASP.

V ... 25.06 A^3/atom
Total magnetic moment ... 0.00 μB per formula unit
Energy of formation ... 364 meV/atom
DOS(E_F) ... 1.75 states/eV per cell

Quantum ESPRESSO input file:
```
&SYSTEM
  ibrav = 0, nat = 5, ntyp = 4
/
ATOMIC_SPECIES
Rb 85.47 Rb.upf
Na 22.99 Na.upf
Ga 69.72 Ga.upf
B 10.81 B.upf
CELL_PARAMETERS angstrom
5.606 0.000 0.000
0.000 5.606 0.000
0.000 0.000 3.987
ATOMIC_POSITIONS crystal
Rb 0.000 0.000 0.000
Na 0.000 0.500 0.500
Na 0.500 0.000 0.500
Ga 0.500 0.500 0.000
B 0.500 0.500 0.500
```